Record 1
# KSrAu2 PBEsol optimized geometry
# DOS at the Fermi energy = 1.5 states/eV/f.u.
# V = 27.19 A^3/atom
# E_tot = -3.0400 eV per atom
# Formation energy = -0.3346 eV per atom
data_KSrAu2
_chemical_formula_sum 'K2 Sr2 Au4'
_cell_length_a 4.009
_cell_length_b 4.930
_cell_length_c 11.007
_cell_angle_alpha 90.00
_cell_angle_beta 90.00
_cell_angle_gamma 90.00
_space_group_name_H-M_alt 'I m m 2'
_space_group_IT_number 44
loop_
_space_group_symop_operation_xyz
'x,y,z'
'-x,-y,z'
'-x,y,z'
'x,-y,z'
'x+1/2,y+1/2,z+1/2'
'-x+1/2,-y+1/2,z+1/2'
'-x+1/2,y+1/2,z+1/2'
'x+1/2,-y+1/2,z+1/2'
loop_
_atom_site_label
_atom_site_type_symbol
_atom_site_fract_x
_atom_site_fract_y
_atom_site_fract_z
K1 K 0.000 0.000 0.000
Sr1 Sr 0.000 0.500 0.789
Au1 Au 0.000 0.000 0.550
Au2 Au 0.000 0.500 0.229



Record 2
# KSrAu4 PBEsol optimized geometry
# DOS at the Fermi energy = 2.4 states/eV/f.u.
# V = 21.86 A^3/atom
# E_tot = -3.5314 eV per atom
# Formation energy = -0.4198 eV per atom
data_KSrAu4
_chemical_formula_sum 'K4 Sr4 Au16'
_cell_length_a 8.065
_cell_length_b 8.065
_cell_length_c 8.065
_cell_angle_alpha 90.00
_cell_angle_beta 90.00
_cell_angle_gamma 90.00
_space_group_name_H-M_alt 'F -4 3 m'
_space_group_IT_number 216
_space_group_name_Hall 'F -4 2 3'
loop_
_atom_site_label
_atom_site_type_symbol
_atom_site_fract_x
_atom_site_fract_y
_atom_site_fract_z
K1 K 0.000 0.000 0.000
Sr1 Sr 0.250 0.250 0.750
Au1 Au 0.125 0.125 0.375



Record 3
# KSrAu2 PBEsol optimized geometry
# DOS at the Fermi energy = 1.6 states/eV/f.u.
# V = 29.11 A^3/atom
# E_tot = -3.1430 eV per atom
# Formation energy = -0.4375 eV per atom
data_KSrAu2
_chemical_formula_sum 'K2 Sr2 Au4'
_cell_length_a 4.667
_cell_length_b 4.323
_cell_length_c 11.541
_cell_angle_alpha 90.00
_cell_angle_beta 90.00
_cell_angle_gamma 90.00
_space_group_name_H-M_alt 'A m m 2'
_space_group_IT_number 38
loop_
_space_group_symop_operation_xyz
'x,y,z'
'-x,-y,z'
'-x,y,z'
'x,-y,z'
'x,y+1/2,z+1/2'
'-x,-y+1/2,z+1/2'
'-x,y+1/2,z+1/2'
'x,-y+1/2,z+1/2'
loop_
_atom_site_label
_atom_site_type_symbol
_atom_site_fract_x
_atom_site_fract_y
_atom_site_fract_z
K1 K 0.000 0.000 0.000
Sr1 Sr 0.500 0.000 0.283
Au1 Au 0.000 0.000 0.717
Au2 Au 0.500 0.000 0.578



Record 4
# KTa3Au PBEsol optimized geometry
# DOS at the Fermi energy = 6.0 states/eV/f.u.
# V = 18.39 A^3/atom
# E_tot = -5.7370 eV per atom
# Formation energy = 2.8051 eV per atom
data_KTa3Au
_chemical_formula_sum 'K1 Ta3 Au1'
_cell_length_a 4.513
_cell_length_b 4.513
_cell_length_c 4.513
_cell_angle_alpha 90.00
_cell_angle_beta 90.00
_cell_angle_gamma 90.00
_space_group_name_H-M_alt 'P m -3 m'
_space_group_IT_number 221
_space_group_name_Hall '-P 4 2 3'
loop_
_atom_site_label
_atom_site_type_symbol
_atom_site_fract_x
_atom_site_fract_y
_atom_site_fract_z
K1 K 0.000 0.000 0.000
Ta1 Ta 0.000 0.000 0.500
Au1 Au 0.500 0.500 0.500



Record 5
# KTaAu2 PBEsol optimized geometry
# DOS at the Fermi energy = 2.1 states/eV/f.u.
# V = 21.74 A^3/atom
# E_tot = -5.3132 eV per atom
# Formation energy = 0.0699 eV per atom
data_KTaAu2
_chemical_formula_sum 'K1 Ta1 Au2'
_cell_length_a 2.869
_cell_length_b 3.795
_cell_length_c 7.987
_cell_angle_alpha 90.00
_cell_angle_beta 90.00
_cell_angle_gamma 90.00
_space_group_name_H-M_alt 'P m m m'
_space_group_IT_number 47
loop_
_space_group_symop_operation_xyz
'x,y,z'
'-x,-y,-z'
'-x,-y,z'
'x,y,-z'
'x,-y,-z'
'-x,y,z'
'-x,y,-z'
'x,-y,z'
loop_
_atom_site_label
_atom_site_type_symbol
_atom_site_fract_x
_atom_site_fract_y
_atom_site_fract_z
K1 K 0.000 0.000 0.000
Ta1 Ta 0.000 0.000 0.500
Au1 Au 0.500 0.500 0.315



Record 6
# K2TaAu PBEsol optimized geometry
# DOS at the Fermi energy = 5.4 states/eV/f.u.
# V = 23.40 A^3/atom
# E_tot = -3.7061 eV per atom
# Formation energy = 0.9793 eV per atom
data_K2TaAu
_chemical_formula_sum 'K4 Ta2 Au2'
_cell_length_a 3.991
_cell_length_b 3.991
_cell_length_c 11.751
_cell_angle_alpha 90.00
_cell_angle_beta 90.00
_cell_angle_gamma 90.00
_space_group_name_H-M_alt 'I 4/m m m'
_space_group_IT_number 139
_space_group_name_Hall '-I 4 2'
loop_
_atom_site_label
_atom_site_type_symbol
_atom_site_fract_x
_atom_site_fract_y
_atom_site_fract_z
K1 K 0.000 0.500 0.250
Ta1 Ta 0.000 0.000 0.000
Au1 Au 0.000 0.000 0.500



Record 7
# KTa2Au PBEsol optimized geometry
# DOS at the Fermi energy = 2.7 states/eV/f.u.
# V = 24.75 A^3/atom
# E_tot = -6.8318 eV per atom
# Formation energy = 0.7081 eV per atom
data_KTa2Au
_chemical_formula_sum 'K2 Ta4 Au2'
_cell_length_a 10.014
_cell_length_b 2.797
_cell_length_c 7.158
_cell_angle_alpha 90.00
_cell_angle_beta 99.13
_cell_angle_gamma 90.00
_space_group_name_H-M_alt 'C 1 m 1'
_space_group_IT_number 8
loop_
_space_group_symop_operation_xyz
'x,y,z'
'x,-y,z'
'x+1/2,y+1/2,z'
'x+1/2,-y+1/2,z'
loop_
_atom_site_label
_atom_site_type_symbol
_atom_site_fract_x
_atom_site_fract_y
_atom_site_fract_z
K1 K 0.000 0.000 0.000
Ta1 Ta 0.198 0.000 0.577
Ta2 Ta 0.465 0.000 0.520
Au1 Au 0.269 0.500 0.269



Record 8
# KTa2Au PBEsol optimized geometry
# DOS at the Fermi energy = 2.6 states/eV/f.u.
# V = 21.81 A^3/atom
# E_tot = -6.5937 eV per atom
# Formation energy = 0.9462 eV per atom
data_KTa2Au
_chemical_formula_sum 'K2 Ta4 Au2'
_cell_length_a 2.826
_cell_length_b 5.718
_cell_length_c 10.795
_cell_angle_alpha 90.00
_cell_angle_beta 90.00
_cell_angle_gamma 90.00
_space_group_name_H-M_alt 'I m m 2'
_space_group_IT_number 44
loop_
_space_group_symop_operation_xyz
'x,y,z'
'-x,-y,z'
'-x,y,z'
'x,-y,z'
'x+1/2,y+1/2,z+1/2'
'-x+1/2,-y+1/2,z+1/2'
'-x+1/2,y+1/2,z+1/2'
'x+1/2,-y+1/2,z+1/2'
loop_
_atom_site_label
_atom_site_type_symbol
_atom_site_fract_x
_atom_site_fract_y
_atom_site_fract_z
K1 K 0.000 0.000 0.000
Ta1 Ta 0.000 0.000 0.505
Ta2 Ta 0.000 0.500 0.800
Au1 Au 0.000 0.500 0.228